Computed, not measured: a relaxed Nd2ZnIr crystal at the PBE-GGA level of DFT.

Cell lengths 5.1005, 5.1005, 5.1005 Å; angles 60.00, 60.00, 60.00 degrees
Fractional positions:
1 Nd 0.2500 0.2500 0.2500
2 Nd 0.7500 0.7500 0.7500
3 Zn 0.0000 0.0000 0.0000
4 Ir 0.5000 0.5000 0.5000

Values from the calculation:
calculated density = 9.7 g cm⁻³
total energy = -21.56 eV/cell
magnetic moment = 0.00 μB per atom
volume = 23.46 A^3/atom
density of states at the Fermi level = 1.6 states/eV/cell
ΔE_f = -0.471 eV per atom
E above lowest polymorph = 70 meV/atom